Entry 1:
Here is a relaxed structure of CuAg from OQMD via LeMat-Bulk. Energies are from PBE.

The structure in CIF format:
```
data_CuAg
_chemical_formula_sum 'Cu8 Ag8'
_cell_length_a 18.093
_cell_length_b 2.766
_cell_length_c 4.726
_cell_angle_alpha 90.00
_cell_angle_beta 91.50
_cell_angle_gamma 90.00
_symmetry_space_group_name_H-M 'C 1 2/m 1'
_symmetry_Int_Tables_number 12
_symmetry_space_group_name_Hall '-C 2y'
loop_
_atom_site_label
_atom_site_fract_x
_atom_site_fract_y
_atom_site_fract_z
Cu1 0.077 0.000 0.217
Cu2 0.190 0.500 0.079
Ag1 0.052 0.500 0.734
Ag2 0.186 0.000 0.589
```

Calculated values
Crystal system: monoclinic



Entry 2:
Here is a relaxed structure of Cu3Ag2 from OQMD via LeMat-Bulk. Energies are from PBE.

The structure in CIF format:
```
data_Cu3Ag2
_chemical_formula_sum 'Cu6 Ag4'
_cell_length_a 4.716
_cell_length_b 4.727
_cell_length_c 7.205
_cell_angle_alpha 108.65
_cell_angle_beta 102.42
_cell_angle_gamma 99.94
_symmetry_space_group_name_H-M 'P -1'
_symmetry_Int_Tables_number 2
_symmetry_space_group_name_Hall '-P 1'
loop_
_atom_site_label
_atom_site_fract_x
_atom_site_fract_y
_atom_site_fract_z
Cu1 0.000 0.000 0.000
Cu2 0.078 0.189 0.681
Cu3 0.210 0.386 0.408
Cu4 0.500 0.000 0.500
Ag1 0.298 0.597 0.112
Ag2 0.375 0.796 0.787
```

Calculated values
Crystal system: triclinic
Offset from the most stable computed form, meV per atom: 52



Entry 3:
Here is a relaxed structure of Cu3Ag2 from OQMD via LeMat-Bulk. Energies are from PBE.

The structure in CIF format:
```
data_Cu3Ag2
_chemical_formula_sum 'Cu18 Ag12'
_cell_length_a 2.7854
_cell_length_b 2.7854
_cell_length_c 64.5689
_cell_angle_alpha 90.00
_cell_angle_beta 90.00
_cell_angle_gamma 120.00
_symmetry_space_group_name_H-M 'R 3 m'
_symmetry_Int_Tables_number 160
_symmetry_space_group_name_Hall 'R 3 -2"'
loop_
_atom_site_label
_atom_site_fract_x
_atom_site_fract_y
_atom_site_fract_z
Cu1 0.0000 0.0000 0.0000
Cu2 0.0000 0.0000 0.0982
Cu3 0.0000 0.0000 0.1969
Cu4 0.0000 0.0000 0.4016
Cu5 0.0000 0.0000 0.7947
Cu6 0.0000 0.0000 0.8932
Ag1 0.0000 0.0000 0.2992
Ag2 0.0000 0.0000 0.4958
Ag3 0.0000 0.0000 0.5941
Ag4 0.0000 0.0000 0.7006
```

Calculated values
Crystal system: trigonal
Offset from the most stable computed form, meV per atom: 66



Entry 4:
Here is a relaxed structure of CuAg from OQMD via LeMat-Bulk. Energies are from PBE.

The structure in CIF format:
```
data_CuAg
_chemical_formula_sum 'Cu4 Ag4'
_cell_length_a 4.797
_cell_length_b 2.784
_cell_length_c 9.048
_cell_angle_alpha 90.00
_cell_angle_beta 100.81
_cell_angle_gamma 90.00
_symmetry_space_group_name_H-M 'P 1 21/m 1'
_symmetry_Int_Tables_number 11
_symmetry_space_group_name_Hall '-P 2yb'
loop_
_atom_site_label
_atom_site_fract_x
_atom_site_fract_y
_atom_site_fract_z
Cu1 0.005 0.250 0.266
Cu2 0.225 0.750 0.494
Ag1 0.244 0.250 0.993
Ag2 0.496 0.250 0.733
```

Calculated values
Crystal system: monoclinic



Entry 5:
Here is a relaxed structure of Cu3Ag7 from OQMD via LeMat-Bulk. Energies are from PBE.

The structure in CIF format:
```
data_Cu3Ag7
_chemical_formula_sum 'Cu6 Ag14'
_cell_length_a 19.411
_cell_length_b 2.901
_cell_length_c 5.848
_cell_angle_alpha 90.00
_cell_angle_beta 98.69
_cell_angle_gamma 90.00
_symmetry_space_group_name_H-M 'C 1 2/m 1'
_symmetry_Int_Tables_number 12
_symmetry_space_group_name_Hall '-C 2y'
loop_
_atom_site_label
_atom_site_fract_x
_atom_site_fract_y
_atom_site_fract_z
Cu1 0.000 0.000 0.000
Cu2 0.204 0.000 0.089
Ag1 0.000 0.000 0.500
Ag2 0.100 0.500 0.815
Ag3 0.103 0.500 0.291
Ag4 0.203 0.000 0.616
```

Calculated values
Crystal system: monoclinic
Offset from the most stable computed form, meV per atom: 45



Entry 6:
Here is a relaxed structure of CuAg2 from OQMD via LeMat-Bulk. Energies are from PBE.

The structure in CIF format:
```
data_CuAg2
_chemical_formula_sum 'Cu6 Ag12'
_cell_length_a 14.558
_cell_length_b 2.882
_cell_length_c 8.239
_cell_angle_alpha 90.00
_cell_angle_beta 123.58
_cell_angle_gamma 90.00
_symmetry_space_group_name_H-M 'C 1 m 1'
_symmetry_Int_Tables_number 8
_symmetry_space_group_name_Hall 'C -2y'
loop_
_atom_site_label
_atom_site_fract_x
_atom_site_fract_y
_atom_site_fract_z
Cu1 0.000 0.000 0.000
Cu2 0.114 0.000 0.660
Cu3 0.347 0.000 0.003
Ag1 0.060 0.500 0.329
Ag2 0.175 0.500 0.984
Ag3 0.226 0.000 0.327
Ag4 0.281 0.500 0.683
Ag5 0.394 0.500 0.327
Ag6 0.454 0.000 0.677
```

Calculated values
Crystal system: monoclinic
Offset from the most stable computed form, meV per atom: 52



Computed values of DFT total energy (unit: eV per atom) for the preceding records, in sequence: -3.17, -3.27, -3.25, -3.17, -3.02, -3.04.
Computed values of energy of formation (unit: eV per atom) for the preceding records, in sequence: 0.097, 0.094, 0.108, 0.097, 0.074, 0.083.